No. 1
# PBE Y2P2Se, relaxed
data_Y2P2Se
_chemical_formula_sum 'Y4 P4 Se2'
_symmetry_space_group_name_H-M 'P 1'
_symmetry_Int_Tables_number 1
_cell_length_a 7.584
_cell_length_b 7.584
_cell_length_c 3.898
_cell_angle_alpha 90.00
_cell_angle_beta 90.00
_cell_angle_gamma 90.00
loop_
_symmetry_equiv_pos_as_xyz
'x,y,z'
loop_
_atom_site_label
_atom_site_type_symbol
_atom_site_fract_x
_atom_site_fract_y
_atom_site_fract_z
_atom_site_occupancy
Y1 Y 0.179 0.321 0.000 1
Y2 Y 0.321 0.821 0.000 1
Y3 Y 0.679 0.179 0.000 1
Y4 Y 0.821 0.679 0.000 1
P1 P 0.104 0.604 0.500 1
P2 P 0.396 0.104 0.500 1
P3 P 0.604 0.896 0.500 1
P4 P 0.896 0.396 0.500 1
Se1 Se 0.000 0.000 0.000 1
Se2 Se 0.500 0.500 0.000 1
# ΔE to the lowest computed polymorph, meV per atom: 0
# E_form (uncorrected), meV/atom: -1264

=====

No. 2
A relaxed structure of Pm4BiAs2, computed with PBE.

The structure in CIF format:
```
data_Pm4BiAs2
_chemical_formula_sum 'Pm8 Bi2 As4'
_symmetry_space_group_name_H-M 'P 1'
_symmetry_Int_Tables_number 1
_cell_length_a 7.281
_cell_length_b 7.281
_cell_length_c 14.173
_cell_angle_alpha 90.00
_cell_angle_beta 90.00
_cell_angle_gamma 145.55
loop_
_symmetry_equiv_pos_as_xyz
'x,y,z'
loop_
_atom_site_label
_atom_site_type_symbol
_atom_site_fract_x
_atom_site_fract_y
_atom_site_fract_z
_atom_site_occupancy
Pm1 Pm 0.000 0.000 0.000 1
Pm2 Pm 0.000 0.000 0.500 1
Pm3 Pm 0.266 0.734 0.618 1
Pm4 Pm 0.266 0.734 0.882 1
Pm5 Pm 0.440 0.560 0.250 1
Pm6 Pm 0.560 0.440 0.750 1
Pm7 Pm 0.734 0.266 0.118 1
Pm8 Pm 0.734 0.266 0.382 1
Bi1 Bi 0.108 0.892 0.250 1
Bi2 Bi 0.892 0.108 0.750 1
As1 As 0.365 0.635 0.060 1
As2 As 0.365 0.635 0.440 1
As3 As 0.635 0.365 0.560 1
As4 As 0.635 0.365 0.940 1
```

=====

No. 3
# PBE KBPb, relaxed
data_KBPb
_chemical_formula_sum 'K4 B4 Pb4'
_symmetry_space_group_name_H-M 'P 1'
_symmetry_Int_Tables_number 1
_cell_length_a 8.702
_cell_length_b 8.702
_cell_length_c 8.702
_cell_angle_alpha 99.60
_cell_angle_beta 99.60
_cell_angle_gamma 131.79
loop_
_symmetry_equiv_pos_as_xyz
'x,y,z'
loop_
_atom_site_label
_atom_site_type_symbol
_atom_site_fract_x
_atom_site_fract_y
_atom_site_fract_z
_atom_site_occupancy
K1 K 0.000 0.272 0.272 1
K2 K 0.000 0.728 0.728 1
K3 K 0.272 0.000 0.272 1
K4 K 0.728 0.000 0.728 1
B1 B 0.424 0.424 0.849 1
B2 B 0.424 0.576 0.000 1
B3 B 0.576 0.424 0.000 1
B4 B 0.576 0.576 0.151 1
Pb1 Pb 0.229 0.500 0.729 1
Pb2 Pb 0.500 0.229 0.729 1
Pb3 Pb 0.500 0.771 0.271 1
Pb4 Pb 0.771 0.500 0.271 1
# ΔE to the lowest computed polymorph, meV per atom: 337

=====

No. 4
# PBE Zn3SiN, relaxed
data_Zn3SiN
_chemical_formula_sum 'Zn3 Si1 N1'
_symmetry_space_group_name_H-M 'P 1'
_symmetry_Int_Tables_number 1
_cell_length_a 4.161
_cell_length_b 4.161
_cell_length_c 4.161
_cell_angle_alpha 90.00
_cell_angle_beta 90.00
_cell_angle_gamma 90.00
loop_
_symmetry_equiv_pos_as_xyz
'x,y,z'
loop_
_atom_site_label
_atom_site_type_symbol
_atom_site_fract_x
_atom_site_fract_y
_atom_site_fract_z
_atom_site_occupancy
Zn1 Zn 0.000 0.000 0.500 1
Zn2 Zn 0.000 0.500 0.000 1
Zn3 Zn 0.500 0.000 0.000 1
Si1 Si 0.500 0.500 0.500 1
N1 N 0.000 0.000 0.000 1
# ΔE to the lowest computed polymorph, meV per atom: 0
# E_form (uncorrected), meV/atom: 486

=====

No. 5
# PBE Ca2ScBr, relaxed
data_Ca2ScBr
_chemical_formula_sum 'Ca2 Sc1 Br1'
_symmetry_space_group_name_H-M 'P 1'
_symmetry_Int_Tables_number 1
_cell_length_a 3.554
_cell_length_b 3.554
_cell_length_c 9.785
_cell_angle_alpha 90.00
_cell_angle_beta 90.00
_cell_angle_gamma 90.00
loop_
_symmetry_equiv_pos_as_xyz
'x,y,z'
loop_
_atom_site_label
_atom_site_type_symbol
_atom_site_fract_x
_atom_site_fract_y
_atom_site_fract_z
_atom_site_occupancy
Ca1 Ca 0.000 0.000 0.000 1
Ca2 Ca 0.500 0.500 0.305 1
Sc1 Sc 0.000 0.000 0.562 1
Br1 Br 0.500 0.500 0.771 1
# ΔE to the lowest computed polymorph, meV per atom: 216
# E_form (uncorrected), meV/atom: -346

=====

No. 6
# PBE La2AgOsO8, relaxed
data_La2AgOsO8
_chemical_formula_sum 'La2 Ag1 Os1 O8'
_symmetry_space_group_name_H-M 'P 1'
_symmetry_Int_Tables_number 1
_cell_length_a 4.304
_cell_length_b 5.472
_cell_length_c 7.177
_cell_angle_alpha 83.30
_cell_angle_beta 86.13
_cell_angle_gamma 83.76
loop_
_symmetry_equiv_pos_as_xyz
'x,y,z'
loop_
_atom_site_label
_atom_site_type_symbol
_atom_site_fract_x
_atom_site_fract_y
_atom_site_fract_z
_atom_site_occupancy
La1 La 0.182 0.010 0.236 1
La2 La 0.818 0.990 0.764 1
Ag1 Ag 0.500 0.500 0.000 1
Os1 Os 0.500 0.500 0.500 1
O1 O 0.201 0.763 0.547 1
O2 O 0.272 0.848 0.942 1
O3 O 0.284 0.268 0.653 1
O4 O 0.289 0.451 0.279 1
O5 O 0.711 0.549 0.721 1
O6 O 0.716 0.732 0.347 1
O7 O 0.728 0.152 0.058 1
O8 O 0.799 0.237 0.453 1
# E_form (uncorrected), meV/atom: -1820

=====

No. 7
A relaxed structure of Tb4Cd3Ni, computed with PBE.

The structure in CIF format:
```
data_Tb4Cd3Ni
_chemical_formula_sum 'Tb4 Cd3 Ni1'
_symmetry_space_group_name_H-M 'P 1'
_symmetry_Int_Tables_number 1
_cell_length_a 3.475
_cell_length_b 3.475
_cell_length_c 16.349
_cell_angle_alpha 90.00
_cell_angle_beta 90.00
_cell_angle_gamma 90.00
loop_
_symmetry_equiv_pos_as_xyz
'x,y,z'
loop_
_atom_site_label
_atom_site_type_symbol
_atom_site_fract_x
_atom_site_fract_y
_atom_site_fract_z
_atom_site_occupancy
Tb1 Tb 0.000 0.000 0.099 1
Tb2 Tb 0.000 0.000 0.366 1
Tb3 Tb 0.000 0.000 0.634 1
Tb4 Tb 0.000 0.000 0.901 1
Cd1 Cd 0.500 0.500 0.235 1
Cd2 Cd 0.500 0.500 0.500 1
Cd3 Cd 0.500 0.500 0.765 1
Ni1 Ni 0.500 0.500 0.000 1
```

=====

No. 8
A relaxed structure of LaTbPr5Y2, computed with PBE.

The structure in CIF format:
```
data_LaTbPr5Y2
_chemical_formula_sum 'La2 Tb2 Pr10 Y4'
_symmetry_space_group_name_H-M 'P 1'
_symmetry_Int_Tables_number 1
_cell_length_a 9.815
_cell_length_b 9.815
_cell_length_c 9.815
_cell_angle_alpha 121.86
_cell_angle_beta 121.86
_cell_angle_gamma 86.80
loop_
_symmetry_equiv_pos_as_xyz
'x,y,z'
loop_
_atom_site_label
_atom_site_type_symbol
_atom_site_fract_x
_atom_site_fract_y
_atom_site_fract_z
_atom_site_occupancy
La1 La 0.250 0.250 0.000 1
La2 La 0.750 0.750 0.000 1
Tb1 Tb 0.250 0.750 0.500 1
Tb2 Tb 0.750 0.250 0.500 1
Pr1 Pr 0.000 0.000 0.000 1
Pr2 Pr 0.070 0.570 0.905 1
Pr3 Pr 0.165 0.070 0.500 1
Pr4 Pr 0.335 0.835 0.905 1
Pr5 Pr 0.430 0.335 0.500 1
Pr6 Pr 0.500 0.500 0.000 1
Pr7 Pr 0.570 0.665 0.500 1
Pr8 Pr 0.665 0.165 0.095 1
Pr9 Pr 0.835 0.930 0.500 1
Pr10 Pr 0.930 0.430 0.095 1
Y1 Y 0.109 0.391 0.500 1
Y2 Y 0.391 0.891 0.283 1
Y3 Y 0.609 0.109 0.717 1
Y4 Y 0.891 0.609 0.500 1
```

=====

No. 9
# PBE Er2MnCrN5, relaxed
data_Er2MnCrN5
_chemical_formula_sum 'Er4 Mn2 Cr2 N10'
_symmetry_space_group_name_H-M 'P 1'
_symmetry_Int_Tables_number 1
_cell_length_a 6.865
_cell_length_b 6.865
_cell_length_c 9.609
_cell_angle_alpha 90.00
_cell_angle_beta 90.00
_cell_angle_gamma 153.18
loop_
_symmetry_equiv_pos_as_xyz
'x,y,z'
loop_
_atom_site_label
_atom_site_type_symbol
_atom_site_fract_x
_atom_site_fract_y
_atom_site_fract_z
_atom_site_occupancy
Er1 Er 0.120 0.880 0.500 1
Er2 Er 0.137 0.863 0.143 1
Er3 Er 0.863 0.137 0.643 1
Er4 Er 0.880 0.120 0.000 1
Mn1 Mn 0.208 0.792 0.855 1
Mn2 Mn 0.792 0.208 0.355 1
Cr1 Cr 0.440 0.560 0.273 1
Cr2 Cr 0.560 0.440 0.773 1
N1 N 0.050 0.950 0.865 1
N2 N 0.291 0.709 0.488 1
N3 N 0.312 0.688 0.214 1
N4 N 0.350 0.650 0.833 1
N5 N 0.499 0.501 0.114 1
N6 N 0.501 0.499 0.614 1
N7 N 0.650 0.350 0.333 1
N8 N 0.688 0.312 0.714 1
N9 N 0.709 0.291 0.988 1
N10 N 0.950 0.050 0.365 1
# E_form (uncorrected), meV/atom: -902

=====

No. 10
# PBE Zn2WSe, relaxed
data_Zn2WSe
_chemical_formula_sum 'Zn2 W1 Se1'
_symmetry_space_group_name_H-M 'P 1'
_symmetry_Int_Tables_number 1
_cell_length_a 3.003
_cell_length_b 3.003
_cell_length_c 8.205
_cell_angle_alpha 90.00
_cell_angle_beta 90.00
_cell_angle_gamma 90.00
loop_
_symmetry_equiv_pos_as_xyz
'x,y,z'
loop_
_atom_site_label
_atom_site_type_symbol
_atom_site_fract_x
_atom_site_fract_y
_atom_site_fract_z
_atom_site_occupancy
Zn1 Zn 0.000 0.000 0.000 1
Zn2 Zn 0.500 0.500 0.204 1
W1 W 0.500 0.500 0.775 1
Se1 Se 0.000 0.000 0.593 1
# E_form (uncorrected), meV/atom: 180

=====

| no. | E_tot (eV per atom) |
| --- | --- |
| 1 | -6.71 |
| 2 | -5.74 |
| 3 | -3.35 |
| 4 | -3.03 |
| 5 | -3.35 |
| 6 | -7.12 |
| 7 | -3.71 |
| 8 | -4.87 |
| 9 | -8.63 |
| 10 | -4.57 |